Here is a relaxed SrAc2MnO6 crystal from Alexandria via LeMat-Bulk. Energies are from GGA+U.

Computed properties:
density: 6.81 g/cm3
electronic total energy: -72.44 eV per cell
magnetization: 0.30 μB/atom
space group: P4mm (99)

The structure in CIF format:
```
data_SrAc2MnO6
_cell_length_a 5.1119
_cell_length_b 5.7488
_cell_length_c 5.7488
_cell_angle_alpha 90.00
_cell_angle_beta 90.00
_cell_angle_gamma 90.00
_space_group_name_H-M_alt 'P 1'
_space_group_IT_number 1
loop_
_space_group_symop_operation_xyz
'x,y,z'
loop_
_atom_site_label
_atom_site_fract_x
_atom_site_fract_y
_atom_site_fract_z
_atom_site_occupancy
Ac1 0.0058 0.0000 0.5000 1
O1 0.2597 0.0000 0.0000 1
O2 0.0993 0.5000 0.5000 1
Ac2 0.0058 0.5000 0.0000 1
Mn1 0.6222 0.0000 0.0000 1
O3 0.7235 0.7752 0.2248 1
O4 0.7235 0.2248 0.7752 1
O5 0.7235 0.7752 0.7752 1
Sr1 0.5599 0.5000 0.5000 1
O6 0.7235 0.2248 0.2248 1
```